Computed, not measured: a relaxed In3GaRe crystal at the GGA-PBEsol level of DFT.

Output
E_form, eV per atom: 1.445
Final energy, eV/atom: -3.679
Calculated volume, Å³/f.u.: 129.2

Cell: 5.0559 5.0559 5.0559 Å, 90.00 90.00 90.00°
Last column: nearest neighbours and their distance in Å.
Space group Pm-3m (No. 221)
Asymmetric unit:
In 0.0000 0.0000 0.5000 x3  2 Ga 2.53
Ga 0.0000 0.0000 0.0000 x1  6 In 2.53
Re 0.5000 0.5000 0.5000 x1  12 In 3.58

---

Computed, not measured: a relaxed Cr2WSe crystal at the GGA-PBEsol level of DFT.

Output
Final energy, eV/atom: -9.167
ΔE_f (raw), eV/atom: 0.369
Calculated volume, Å³/f.u.: 53.8

Cell: 2.9236 3.7631 4.8933 Å, 90.00 90.00 90.00°
Last column: nearest neighbours and their distance in Å.
Space group Pmmm (No. 47)
Asymmetric unit:
Cr 0.0000 0.0000 0.2357 x2  1 Cr 2.31
W 0.5000 0.5000 0.5000 x1  2 Se 2.45, 8 Cr 2.71
Se 0.5000 0.5000 0.0000 x1  2 W 2.45, 8 Cr 2.65

---

Computed, not measured: a relaxed TiAlH2 crystal at the GGA-PBEsol level of DFT.

Output
Relative energy among the computed polymorphs, meV/atom: 366
Final energy, eV/atom: -4.539
Calculated volume, Å³/f.u.: 35.9

Cell: 5.2346 5.2346 5.2346 Å, 90.00 90.00 90.00°
Last column: nearest neighbours and their distance in Å.
Space group Fm-3m (No. 225)
Asymmetric unit:
Ti 0.0000 0.0000 0.0000 x4  8 H 2.27
Al 0.0000 0.0000 0.5000 x4  8 H 2.27
H 0.2500 0.2500 0.2500 x8  4 Al 2.27, 4 Ti 2.27

---

Computed, not measured: a relaxed Cd3HF crystal at the GGA-PBEsol level of DFT.

Output
Final energy, eV/atom: -1.514
Calculated volume, Å³/f.u.: 105.7

Cell: 4.7279 4.7279 4.7279 Å, 90.00 90.00 90.00°
Last column: nearest neighbours and their distance in Å.
Space group Pm-3m (No. 221)
Asymmetric unit:
Cd 0.0000 0.0000 0.5000 x3  2 F 2.36
H 0.5000 0.5000 0.5000 x1  12 Cd 3.34
F 0.0000 0.0000 0.0000 x1  6 Cd 2.36

---

Computed, not measured: a relaxed HfGaCo crystal at the GGA-PBEsol level of DFT.

Output
E_form, eV per atom: -0.609
Final energy, eV/atom: -7.802
Calculated volume, Å³/f.u.: 44.0

Cell: 6.8014 6.8014 3.2918 Å, 90.00 90.00 120.00°
Last column: nearest neighbours and their distance in Å.
Space group P-62m (No. 189)
Asymmetric unit:
Hf 0.0000 0.4033 0.0000 x3  5 Co 2.65-2.74, 6 Ga 2.81-2.92
Ga 0.0000 0.7377 0.5000 x3  4 Co 2.43-2.54
Co 0.0000 0.0000 0.0000 x1  6 Ga 2.43
Co 0.3333 0.6667 0.5000 x2  3 Ga 2.54, 6 Hf 2.65

---

Computed, not measured: a relaxed Sb2RuC crystal at the GGA-PBEsol level of DFT.

Output
Final energy, eV/atom: -5.906
ΔE_f (raw), eV/atom: 1.327
Calculated volume, Å³/f.u.: 65.6

Cell: 6.4025 6.4025 6.4025 Å, 90.00 90.00 90.00°
Last column: nearest neighbours and their distance in Å.
Space group Fm-3m (No. 225)
Asymmetric unit:
Sb 0.2500 0.2500 0.2500 x8  4 Ru 2.77, 4 C 2.77
Ru 0.0000 0.0000 0.0000 x4  8 Sb 2.77
C 0.0000 0.0000 0.5000 x4  8 Sb 2.77

---

Computed, not measured: a relaxed ScCd2Sb crystal at the GGA-PBEsol level of DFT.

Output
Final energy, eV/atom: -3.755
ΔE_f (raw), eV/atom: -0.366
Calculated volume, Å³/f.u.: 87.4

Cell: 4.0903 4.0903 10.4520 Å, 90.00 90.00 90.00°
Last column: nearest neighbours and their distance in Å.
Space group I4/mmm (No. 139)
Asymmetric unit:
Sc 0.0000 0.0000 0.0000 x2  4 Sb 2.89
Cd 0.0000 0.5000 0.2500 x4  4 Cd 2.89
Sb 0.0000 0.0000 0.5000 x2  4 Sc 2.89

---

Computed, not measured: a relaxed BaTcNO2 crystal at the GGA-PBEsol level of DFT.

Output
Final energy, eV/atom: -8.070
ΔE_f (raw), eV/atom: -1.582
Calculated volume, Å³/f.u.: 63.2

Cell: 4.0463 4.0463 3.8609 Å, 90.00 90.00 90.00°
Last column: nearest neighbours and their distance in Å.
Space group P4/mmm (No. 123)
Asymmetric unit:
Ba 0.0000 0.0000 0.0000 x1  8 O 2.80, 4 N 2.86
Tc 0.5000 0.5000 0.5000 x1  2 N 1.93, 4 O 2.02
N 0.5000 0.5000 0.0000 x1  2 Tc 1.93
O 0.0000 0.5000 0.5000 x2  2 Tc 2.02

---

Copy entry 4 word for word.
Computed, not measured: a relaxed Cd3HF crystal at the GGA-PBEsol level of DFT.

Output
Final energy, eV/atom: -1.514
Calculated volume, Å³/f.u.: 105.7

Cell: 4.7279 4.7279 4.7279 Å, 90.00 90.00 90.00°
Last column: nearest neighbours and their distance in Å.
Space group Pm-3m (No. 221)
Asymmetric unit:
Cd 0.0000 0.0000 0.5000 x3  2 F 2.36
H 0.5000 0.5000 0.5000 x1  12 Cd 3.34
F 0.0000 0.0000 0.0000 x1  6 Cd 2.36